PrY2Th after structural relaxation. Source: Alexandria via LeMat-Bulk, functional PBE.

The calculation puts the excess energy over the best structure of this formula in the dataset at 0.101 eV/f.u. For the formation energy from the elements, the calculation gives 0.040 eV/atom. The value obtained for the size of the total moment is 0.0 Bohr magnetons per cell. As for the crystal system: triclinic.

The space group is P-1 (No. 2) and the conventional cell measures 3.5579, 6.8903 and 11.2620 Å, with angles of 89.33, 89.94 and 75.09 degrees. The distinct sites, in fractional coordinates, are Pr at (0.1302, 0.2410, 0.4874), Y at (0.2568, 0.9867, 0.7573), Y at (0.4781, 0.5419, 0.2429) and Th at (0.1258, 0.2472, 0.0120).

---

Pr3YTh after structural relaxation. Source: Alexandria via LeMat-Bulk, functional PBE.

The calculation puts the excess energy over the best structure of this formula in the dataset at 0.838 eV/f.u. For the formation energy from the elements, the calculation gives 0.333 eV/atom. The value obtained for the size of the total moment is 0.0 Bohr magnetons per cell. As for the crystal system: trigonal.

The space group is R-3c (No. 167, hexagonal axes) and the conventional cell measures 10.0634, 10.0634 and 12.2088 Å, with angles of 90.00, 90.00 and 120.00 degrees. The distinct sites, in fractional coordinates, are Pr at (0.0000, 0.3286, 0.2500), Y at (0.0000, 0.0000, 0.2500) and Th at (0.0000, 0.0000, 0.0000).

---

PrY3Th after structural relaxation. Source: Alexandria via LeMat-Bulk, functional PBE.

The calculation puts the excess energy over the best structure of this formula in the dataset at 0.000 eV/f.u. For the formation energy from the elements, the calculation gives 0.046 eV/atom. The value obtained for the size of the total moment is 0.0 Bohr magnetons per cell. As for the crystal system: triclinic.

The space group is P-1 (No. 2) and the conventional cell measures 6.3276, 6.8573 and 9.3062 Å, with angles of 108.50, 90.01 and 117.42 degrees. The distinct sites, in fractional coordinates, are Pr at (0.0392, 0.3889, 0.1443), Y at (0.1653, 0.9943, 0.2514), Y at (0.2324, 0.8035, 0.5545), Y at (0.3721, 0.4010, 0.6521) and Th at (0.4444, 0.2046, 0.9558).

---

PrY2Th after structural relaxation. Source: Alexandria via LeMat-Bulk, functional PBE.

The calculation puts the excess energy over the best structure of this formula in the dataset at 0.000 eV/f.u. For the formation energy from the elements, the calculation gives 0.015 eV/atom. The value obtained for the size of the total moment is 0.0 Bohr magnetons per cell. As for the crystal system: trigonal.

The space group is R-3m (No. 166, hexagonal axes) and the conventional cell measures 3.6167, 3.6167 and 34.9679 Å, with angles of 90.00, 90.00 and 120.00 degrees. The distinct sites, in fractional coordinates, are Pr at (0.0000, 0.0000, 0.0000), Y at (0.0000, 0.0000, 0.2474) and Th at (0.0000, 0.0000, 0.5000).

---

PrYThZr after structural relaxation. Source: Alexandria via LeMat-Bulk, functional PBE.

For the formation energy from the elements, the calculation gives 0.176 eV/atom. The value obtained for the size of the total moment is 0.0 Bohr magnetons per cell. As for the crystal system: cubic.

The space group is F-43m (No. 216) and the conventional cell measures 7.8348, 7.8348 and 7.8348 Å, with angles of 90.00, 90.00 and 90.00 degrees. The distinct sites, in fractional coordinates, are Pr at (0.0000, 0.0000, 0.0000), Y at (0.2500, 0.2500, 0.7500), Th at (0.0000, 0.0000, 0.5000) and Zr at (0.2500, 0.2500, 0.2500).

---

PrTh2Zn after structural relaxation. Source: Alexandria via LeMat-Bulk, functional PBE.

The calculation puts the excess energy over the best structure of this formula in the dataset at 0.164 eV/f.u. For the formation energy from the elements, the calculation gives 0.027 eV/atom. The value obtained for the size of the total moment is 0.0 Bohr magnetons per cell. As for the crystal system: tetragonal.

The space group is P4/mmm (No. 123) and the conventional cell measures 4.8443, 4.8443 and 4.9280 Å, with angles of 90.00, 90.00 and 90.00 degrees. The distinct sites, in fractional coordinates, are Pr at (0.0000, 0.0000, 0.0000), Th at (0.0000, 0.5000, 0.5000) and Zn at (0.5000, 0.5000, 0.0000).

---

Pr2ThZn4 after structural relaxation. Source: Alexandria via LeMat-Bulk, functional PBE.

For the formation energy from the elements, the calculation gives -0.077 eV/atom. The value obtained for the size of the total moment is 0.0 Bohr magnetons per cell. As for the crystal system: tetragonal.

The space group is I4/mmm (No. 139) and the conventional cell measures 5.3803, 5.3803 and 12.7450 Å, with angles of 90.00, 90.00 and 90.00 degrees. The distinct sites, in fractional coordinates, are Pr at (0.0000, 0.0000, 0.2174), Th at (0.0000, 0.0000, 0.5000) and Zn at (0.0000, 0.5000, 0.1072).

---

PrTh2Zn after structural relaxation. Source: Alexandria via LeMat-Bulk, functional PBE.

The calculation puts the excess energy over the best structure of this formula in the dataset at 0.870 eV/f.u. For the formation energy from the elements, the calculation gives 0.204 eV/atom. The value obtained for the size of the total moment is 0.0 Bohr magnetons per cell. As for the crystal system: trigonal.

The space group is R-3m (No. 166, hexagonal axes) and the conventional cell measures 3.4411, 3.4411 and 35.3788 Å, with angles of 90.00, 90.00 and 120.00 degrees. The distinct sites, in fractional coordinates, are Pr at (0.0000, 0.0000, 0.0000), Th at (0.0000, 0.0000, 0.0975) and Zn at (0.0000, 0.0000, 0.5000).